## MgTe2Pd8 (PBE-GGA)

Data for a relaxed structure of MgTe2Pd8.

Results
Uncorrected formation energy in kcal/mol of atoms: -8.57
Offset from the most stable computed form in meV/atom: 0
SG: C2/m
Magnetization in μB/f.u.: 0.0

a = 7.8362 Å, b = 7.8362 Å, c = 6.3540 Å
α = 108.00°, β = 108.00°, γ = 30.65°
Sites, in units of the cell vectors:
Mg1 0.0000 0.0000 0.0000
Te1 0.3051 0.3051 0.3386
Te2 0.6949 0.6949 0.6614
Pd1 0.0861 0.0861 0.4546
Pd2 0.1767 0.1767 0.9330
Pd3 0.3587 0.3587 0.7983
Pd4 0.4642 0.4642 0.2564
Pd5 0.5358 0.5358 0.7436
Pd6 0.6413 0.6413 0.2017
Pd7 0.8233 0.8233 0.0670
Pd8 0.9139 0.9139 0.5454